1.
Th6Te12I | PBE | optimized geometry

Cell lengths 9.2776, 9.2776, 9.2776 Å; angles 104.42, 104.42, 104.42 degrees
With the nearest neighbours (Å) after each atom.
Fractional positions:
Th  0.6717  0.2541  0.2541  7 Te 3.13-3.25
Th  0.2541  0.2541  0.6717  7 Te 3.13-3.25
Th  0.2541  0.6717  0.2541  7 Te 3.13-3.25
Th  0.7459  0.7459  0.3283  7 Te 3.13-3.25
Th  0.3283  0.7459  0.7459  7 Te 3.13-3.25
Th  0.7459  0.3283  0.7459  7 Te 3.13-3.25
Te  0.8737  0.1263  0.5000  4 Th 3.23-3.25
Te  0.8240  0.5565  0.5565  3 Th 3.13-3.14
Te  0.5565  0.5565  0.8240  3 Th 3.13-3.14
Te  0.4435  0.1760  0.4435  3 Th 3.13-3.14
Te  0.4435  0.4435  0.1760  3 Th 3.13-3.14
Te  0.1760  0.4435  0.4435  3 Th 3.13-3.14
Te  0.1263  0.5000  0.8737  4 Th 3.23-3.25
Te  0.5000  0.8737  0.1263  4 Th 3.23-3.25
Te  0.1263  0.8737  0.5000  4 Th 3.23-3.25
Te  0.8737  0.5000  0.1263  4 Th 3.23-3.25
Te  0.5000  0.1263  0.8737  4 Th 3.23-3.25
Te  0.5565  0.8240  0.5565  3 Th 3.13-3.14
I  0.0000  0.0000  0.0000  18 Te 4.63-4.99, 6 Th 4.98

## Properties
E_tot, eV per atom: -5.44
Formation energy from raw total energies, meV per atom: -1031

2.
ThTe2I | PBE | optimized geometry

Cell lengths 4.4548, 4.4548, 10.3203 Å; angles 77.54, 77.54, 60.00 degrees
With the nearest neighbours (Å) after each atom.
Fractional positions:
I  0.5000  0.5000  0.5000  6 Te 4.10, 6 I 4.45
Te  0.2732  0.2732  0.1805  3 Th 3.14
Te  0.7268  0.7268  0.8195  3 Th 3.14
Th  0.0000  0.0000  0.0000  6 Te 3.14

## Properties
ΔE to the lowest computed polymorph, eV per formula unit: 0.32
E_tot, eV per atom: -4.47
Formation energy from raw total energies, meV per atom: -652

3.
Th2TiTe2I4 | PBE | optimized geometry

Cell lengths 3.9234, 3.9234, 24.7619 Å; angles 90.00, 90.00, 120.00 degrees
With the nearest neighbours (Å) after each atom.
Fractional positions:
Th  0.0000  0.0000  0.9908  6 I 3.21-3.22
Th  0.6667  0.3333  0.6404  6 I 3.21-3.22
Ti  0.0000  0.0000  0.3278  6 Te 2.85
Te  0.6667  0.3333  0.3978  3 Ti 2.85
Te  0.6667  0.3333  0.2579  3 Ti 2.85
I  0.0000  0.0000  0.5484  3 Th 3.21
I  0.6667  0.3333  0.0829  3 Th 3.21
I  0.6667  0.3333  0.8983  3 Th 3.22
I  0.0000  0.0000  0.7329  3 Th 3.22

## Properties
E_tot, eV per atom: -4.79
Formation energy from raw total energies, meV per atom: -879

4.
TiTe2I | PBE | optimized geometry

Cell lengths 3.6563, 3.6563, 12.4666 Å; angles 81.57, 81.57, 60.00 degrees
With the nearest neighbours (Å) after each atom.
Fractional positions:
I  0.0000  0.0000  0.0000  6 I 3.66
Te  0.1181  0.1181  0.6458  3 Ti 2.77
Te  0.8819  0.8819  0.3542  3 Ti 2.77
Ti  0.5000  0.5000  0.5000  6 Te 2.77

## Properties
ΔE to the lowest computed polymorph, eV per formula unit: 0.51
E_tot, eV per atom: -4.35
Formation energy from raw total energies, meV per atom: -421

5.
TiTe2I | PBE | optimized geometry

Cell lengths 14.0616, 14.0616, 14.0616 Å; angles 13.43, 13.43, 13.43 degrees
With the nearest neighbours (Å) after each atom.
Fractional positions:
I  0.5000  0.5000  0.5000  6 I 3.29
Te  0.0657  0.0657  0.0657  1 Ti 2.75
Te  0.9343  0.9343  0.9343  1 Ti 2.75
Ti  0.0000  0.0000  0.0000  2 Te 2.75

## Properties
ΔE to the lowest computed polymorph, eV per formula unit: 3.44
E_tot, eV per atom: -3.62
Formation energy from raw total energies, meV per atom: 313

6.
Ti2TeI | PBE | optimized geometry

Cell lengths 4.8792, 4.8792, 4.8792 Å; angles 60.00, 60.00, 60.00 degrees
With the nearest neighbours (Å) after each atom.
Fractional positions:
I  0.5000  0.5000  0.5000  8 Ti 2.99
Te  0.0000  0.0000  0.0000  8 Ti 2.99
Ti  0.2500  0.2500  0.2500  4 I 2.99, 4 Te 2.99
Ti  0.7500  0.7500  0.7500  4 I 2.99, 4 Te 2.99

## Properties
ΔE to the lowest computed polymorph, eV per formula unit: 0.00
E_tot, eV per atom: -5.25
Formation energy from raw total energies, meV per atom: -132

7.
TiTeI | PBE | optimized geometry

Cell lengths 5.5210, 7.6990, 9.7734 Å; angles 113.44, 90.00, 90.00 degrees
With the nearest neighbours (Å) after each atom.
Fractional positions:
Ti  0.7500  0.3258  0.9024  4 Te 2.77-2.79, 2 I 2.84
Ti  0.2500  0.1742  0.0976  4 Te 2.77-2.79, 2 I 2.84
Ti  0.2500  0.6742  0.0976  4 Te 2.77-2.79, 2 I 2.84
Ti  0.7500  0.8258  0.9024  4 Te 2.77-2.79, 2 I 2.84
Te  0.7500  0.1898  0.1281  4 Ti 2.77-2.79
Te  0.2500  0.3102  0.8719  4 Ti 2.77-2.79
Te  0.2500  0.8102  0.8719  4 Ti 2.77-2.79
Te  0.7500  0.6898  0.1281  4 Ti 2.77-2.79
I  0.7500  0.4580  0.6694  2 Ti 2.84
I  0.2500  0.0419  0.3306  2 Ti 2.84
I  0.2500  0.5420  0.3306  2 Ti 2.84
I  0.7500  0.9581  0.6694  2 Ti 2.84

## Properties
ΔE to the lowest computed polymorph, eV per formula unit: 0.00
E_tot, eV per atom: -4.89
Formation energy from raw total energies, meV per atom: -693

8.
Ti3Te4I2 | PBE | optimized geometry

Cell lengths 3.7497, 3.7497, 22.9095 Å; angles 90.00, 90.00, 120.00 degrees
With the nearest neighbours (Å) after each atom.
Fractional positions:
Ti  0.0000  0.0000  0.9776  6 I 2.82
Ti  0.0000  0.0000  0.3305  6 Te 2.80-2.81
Ti  0.6667  0.3333  0.6509  6 Te 2.80-2.81
Te  0.0000  0.0000  0.5734  3 Ti 2.80
Te  0.6667  0.3333  0.4081  3 Ti 2.80
Te  0.6667  0.3333  0.2523  3 Ti 2.81
Te  0.0000  0.0000  0.7291  3 Ti 2.81
I  0.6667  0.3333  0.0566  3 Ti 2.82
I  0.6667  0.3333  0.8985  3 Ti 2.82

## Properties
E_tot, eV per atom: -4.99
Formation energy from raw total energies, meV per atom: -617

9.
TiTe2I2 | PBE | optimized geometry

Cell lengths 4.0542, 4.0542, 12.6150 Å; angles 80.75, 80.75, 90.00 degrees
With the nearest neighbours (Å) after each atom.
Fractional positions:
I  0.4284  0.4284  0.1433  4 Ti 3.36, 1 I 3.52
I  0.5716  0.5716  0.8567  4 Ti 3.36, 1 I 3.52
Te  0.7500  0.2500  0.5000  4 Te 2.87
Te  0.2500  0.7500  0.5000  4 Te 2.87
Ti  0.0000  0.0000  0.0000  8 I 3.36

## Properties
ΔE to the lowest computed polymorph, eV per formula unit: 2.69
E_tot, eV per atom: -3.42
Formation energy from raw total energies, meV per atom: 32

10.
TiTe2I | PBE | optimized geometry

Cell lengths 3.6274, 3.6179, 12.9750 Å; angles 81.72, 65.64, 119.89 degrees
With the nearest neighbours (Å) after each atom.
Fractional positions:
Ti  0.9616  0.0536  0.1538  3 Te 2.74, 3 I 2.84
Te  0.2436  0.1088  0.3203  3 Ti 2.74
Te  0.2118  0.9373  0.6186  9 Te 3.62-3.80
I  0.0452  0.6888  0.9727  3 Ti 2.84

## Properties
ΔE to the lowest computed polymorph, eV per formula unit: 1.06
E_tot, eV per atom: -4.22
Formation energy from raw total energies, meV per atom: -284

11.
TiTeI | PBE | optimized geometry

Cell lengths 7.7838, 7.8039, 8.6856 Å; angles 47.96, 90.00, 90.00 degrees
With the nearest neighbours (Å) after each atom.
Fractional positions:
Te  0.3738  0.7433  0.9873  3 Ti 2.71-2.85
Te  0.6262  0.2567  0.0127  3 Ti 2.71-2.85
Te  0.8738  0.7567  0.5127  3 Ti 2.71-2.85
Te  0.1262  0.2433  0.4873  3 Ti 2.71-2.85
I  0.8818  0.7271  0.0002  3 Ti 2.78-2.95
I  0.6182  0.2271  0.5002  3 Ti 2.78-2.95
I  0.1182  0.2729  0.9998  3 Ti 2.78-2.95
I  0.3818  0.7729  0.4998  3 Ti 2.78-2.95
Ti  0.3707  0.2805  0.2221  3 Te 2.71-2.85, 3 I 2.78-2.95
Ti  0.6293  0.7195  0.7779  3 Te 2.71-2.85, 3 I 2.78-2.95
Ti  0.1293  0.7805  0.7221  3 Te 2.71-2.85, 3 I 2.78-2.95
Ti  0.8707  0.2195  0.2779  3 Te 2.71-2.85, 3 I 2.78-2.95

## Properties
ΔE to the lowest computed polymorph, eV per formula unit: 0.01
E_tot, eV per atom: -4.88
Formation energy from raw total energies, meV per atom: -689

12.
TiTeI | PBE | optimized geometry

Cell lengths 3.8975, 3.8975, 7.2910 Å; angles 90.00, 90.00, 120.00 degrees
With the nearest neighbours (Å) after each atom.
Fractional positions:
I  0.0000  0.0000  0.0939  3 Ti 2.89
Te  0.3333  0.6667  0.5642  3 Ti 2.77
Ti  0.6667  0.3333  0.3419  3 Te 2.77, 3 I 2.89

## Properties
ΔE to the lowest computed polymorph, eV per formula unit: 0.04
E_tot, eV per atom: -4.87
Formation energy from raw total energies, meV per atom: -679

13.
TiTe2I | PBE | optimized geometry

Cell lengths 9.5032, 9.5032, 9.5032 Å; angles 24.26, 24.26, 24.26 degrees
With the nearest neighbours (Å) after each atom.
Fractional positions:
I  0.0000  0.0000  0.0000  2 Te 3.02
Te  0.8908  0.8908  0.8908  3 Ti 2.80, 1 I 3.02
Te  0.1092  0.1092  0.1092  3 Ti 2.80, 1 I 3.02
Ti  0.5000  0.5000  0.5000  6 Te 2.80

## Properties
ΔE to the lowest computed polymorph, eV per formula unit: 0.54
E_tot, eV per atom: -4.35
Formation energy from raw total energies, meV per atom: -413